The following is a PBE-GGA calculation of CeSm3Ga2 after structural relaxation, from Alexandria via LeMat-Bulk.

Geometry as POSCAR:
```
CeSm3Ga2
1.0
-3.7974 0.7373 -2.8970
-2.2460 -8.0086 0.9059
-1.3044 5.5466 7.1631
Sm Ga Ce
6 4 2
Direct
0.1783 0.9285 0.3570
0.8217 0.5715 0.6430
0.5000 0.2500 0.0000
0.8217 0.0715 0.6430
0.1783 0.4285 0.3570
0.5000 0.7500 0.0000
0.3503 0.8505 0.7009
0.3503 0.3505 0.7009
0.6497 0.6495 0.2991
0.6497 0.1495 0.2991
0.0000 0.0000 0.0000
0.0000 0.5000 0.0000
```

Values from the calculation:
* calculated total energy: -55.8 eV/cell
* DOS at the Fermi energy: 17.0 states/eV per cell
* space group: No. 65
* ΔH_f (0 K): -0.289 eV/atom